{"formula": "TbSmSi2", "functional": "PBE", "state": "relaxed", "raw_formation_energy_mev_per_atom": -492, "n_ef_per_ev_atom": 0.552, "sg": "R-3m, No. 166", "cell": [[2.323, 1.341, 5.156], [-2.323, 1.341, 5.156], [0.000, -2.683, 5.156]], "species": ["Tb", "Sm", "Si", "Si"], "fractional_positions": [[0.000, 0.000, 0.000], [0.500, 0.500, 0.500], [0.254, 0.254, 0.254], [0.746, 0.746, 0.746]]}


{"formula": "Tb2SmSi", "functional": "PBE", "state": "relaxed", "raw_formation_energy_mev_per_atom": 2, "n_ef_per_ev_atom": 1.348, "sg": "R-3m, No. 166", "cell": [[1.798, 1.038, 10.922], [-1.798, 1.038, 10.922], [0.000, -2.076, 10.922]], "species": ["Tb", "Tb", "Sm", "Si"], "fractional_positions": [[0.108, 0.108, 0.108], [0.892, 0.892, 0.892], [0.000, 0.000, 0.000], [0.500, 0.500, 0.500]]}


{"formula": "TbSmZnSi", "functional": "PBE", "state": "relaxed", "raw_formation_energy_mev_per_atom": -452, "n_ef_per_ev_atom": 0.528, "sg": "F-43m, No. 216", "cell": [[0.000, 3.565, 3.565], [3.565, 0.000, 3.565], [3.565, 3.565, 0.000]], "species": ["Tb", "Sm", "Zn", "Si"], "fractional_positions": [[0.000, 0.000, 0.000], [0.500, 0.500, 0.500], [0.250, 0.250, 0.250], [0.750, 0.750, 0.750]]}


{"formula": "TbSmZnSi", "functional": "PBE", "state": "relaxed", "raw_formation_energy_mev_per_atom": -548, "n_ef_per_ev_atom": 1.060, "sg": "Amm2, No. 38", "cell": [[4.089, 0.000, 0.000], [0.000, 2.117, 5.501], [0.000, -2.117, 5.501]], "species": ["Tb", "Sm", "Zn", "Si"], "fractional_positions": [[0.000, 0.000, 0.000], [0.500, 0.716, 0.716], [0.000, 0.293, 0.293], [0.500, 0.433, 0.433]]}


{"formula": "SmSi3Tc5", "functional": "PBE", "state": "relaxed", "raw_formation_energy_mev_per_atom": -352, "n_ef_per_ev_atom": 0.821, "sg": "Cmcm, No. 63", "cell": [[2.054, -6.359, 0.000], [2.054, 6.359, 0.000], [0.000, 0.000, 11.520]], "species": ["Sm", "Sm", "Si", "Si", "Si", "Si", "Si", "Si", "Tc", "Tc", "Tc", "Tc", "Tc", "Tc", "Tc", "Tc", "Tc", "Tc"], "fractional_positions": [[0.169, 0.831, 0.750], [0.831, 0.169, 0.250], [0.132, 0.868, 0.250], [0.384, 0.616, 0.065], [0.384, 0.616, 0.435], [0.616, 0.384, 0.565], [0.616, 0.384, 0.935], [0.868, 0.132, 0.750], [0.000, 0.000, 0.000], [0.000, 0.000, 0.500], [0.196, 0.804, 0.045], [0.196, 0.804, 0.455], [0.442, 0.558, 0.648], [0.442, 0.558, 0.852], [0.558, 0.442, 0.148], [0.558, 0.442, 0.352], [0.804, 0.196, 0.545], [0.804, 0.196, 0.955]]}


{"formula": "SmSi4Tc9", "functional": "PBE", "state": "relaxed", "raw_formation_energy_mev_per_atom": -297, "n_ef_per_ev_atom": 1.105, "sg": "I4/mcm, No. 140", "cell": [[-4.171, 4.171, 6.309], [4.171, -4.171, 6.309], [4.171, 4.171, -6.309]], "species": ["Sm", "Sm", "Si", "Si", "Si", "Si", "Si", "Si", "Si", "Si", "Tc", "Tc", "Tc", "Tc", "Tc", "Tc", "Tc", "Tc", "Tc", "Tc", "Tc", "Tc", "Tc", "Tc", "Tc", "Tc", "Tc", "Tc"], "fractional_positions": [[0.250, 0.250, 0.000], [0.750, 0.750, 0.000], [0.039, 0.539, 0.834], [0.205, 0.039, 0.500], [0.295, 0.795, 0.834], [0.461, 0.295, 0.500], [0.539, 0.705, 0.500], [0.705, 0.205, 0.166], [0.795, 0.961, 0.500], [0.961, 0.461, 0.166], [0.000, 0.500, 0.500], [0.047, 0.810, 0.500], [0.067, 0.191, 0.258], [0.190, 0.690, 0.237], [0.191, 0.933, 0.124], [0.309, 0.433, 0.742], [0.310, 0.547, 0.500], [0.433, 0.691, 0.124], [0.453, 0.953, 0.763], [0.500, 0.000, 0.500], [0.547, 0.047, 0.237], [0.567, 0.309, 0.876], [0.690, 0.453, 0.500], [0.691, 0.567, 0.258], [0.809, 0.067, 0.876], [0.810, 0.310, 0.763], [0.933, 0.809, 0.742], [0.953, 0.190, 0.500]]}